1.
The following is a meta-GGA SCAN calculation of a crystal of CaIr2Rh relaxed with PBEsol, from Alexandria via LeMat-Bulk.

The structure in CIF format:
```
data_CaIr2Rh
_chemical_formula_sum 'Ca1 Ir2 Rh1'
_space_group_name_H-M_alt 'P 1'
_space_group_IT_number 1
_space_group_name_Hall 'P 1'
_cell_length_a 2.755
_cell_length_b 3.898
_cell_length_c 6.050
_cell_angle_alpha 90.00
_cell_angle_beta 90.00
_cell_angle_gamma 90.00
loop_
_atom_site_label
_atom_site_type_symbol
_atom_site_fract_x
_atom_site_fract_y
_atom_site_fract_z
_atom_site_occupancy
Rh1 Rh 0.000 0.000 0.471 1
Ir1 Ir 0.000 0.000 0.049 1
Ir2 Ir 0.500 0.500 0.236 1
Ca1 Ca 0.500 0.500 0.745 1
```

Computed properties:
ΔE to the lowest computed polymorph in eV/f.u.: 0.285
Symmetry: Pmm2, No. 25

***

2.
The following is a meta-GGA SCAN calculation of a crystal of CaIr2Rh2 relaxed with PBEsol, from Alexandria via LeMat-Bulk.

The structure in CIF format:
```
data_CaIr2Rh2
_chemical_formula_sum 'Ca1 Ir2 Rh2'
_space_group_name_H-M_alt 'P 1'
_space_group_IT_number 1
_space_group_name_Hall 'P 1'
_cell_length_a 4.050
_cell_length_b 4.050
_cell_length_c 6.098
_cell_angle_alpha 109.39
_cell_angle_beta 109.39
_cell_angle_gamma 90.00
loop_
_atom_site_label
_atom_site_type_symbol
_atom_site_fract_x
_atom_site_fract_y
_atom_site_fract_z
_atom_site_occupancy
Ir1 Ir 0.607 0.607 0.214 1
Ir2 Ir 0.393 0.393 0.786 1
Ca1 Ca 0.000 0.000 0.000 1
Rh1 Rh 0.250 0.750 0.500 1
Rh2 Rh 0.750 0.250 0.500 1
```

Computed properties:
Symmetry: I4/mmm, No. 139

***

3.
The following is a meta-GGA SCAN calculation of a crystal of CaIr2Rh relaxed with PBEsol, from Alexandria via LeMat-Bulk.

The structure in CIF format:
```
data_CaIr2Rh
_chemical_formula_sum 'Ca1 Ir2 Rh1'
_space_group_name_H-M_alt 'P 1'
_space_group_IT_number 1
_space_group_name_Hall 'P 1'
_cell_length_a 2.805
_cell_length_b 4.648
_cell_length_c 4.782
_cell_angle_alpha 90.00
_cell_angle_beta 90.00
_cell_angle_gamma 90.00
loop_
_atom_site_label
_atom_site_type_symbol
_atom_site_fract_x
_atom_site_fract_y
_atom_site_fract_z
_atom_site_occupancy
Ca1 Ca 0.000 0.500 0.500 1
Ir1 Ir 0.500 0.500 0.000 1
Ir2 Ir 0.000 0.000 0.000 1
Rh1 Rh 0.500 0.000 0.500 1
```

Computed properties:
ΔE to the lowest computed polymorph in eV/f.u.: 0.501
Symmetry: Pmmm, No. 47

***

Energy relative to the elements per entry: 0.012 -0.125 0.067 eV per atom
Magnetic moment per entry: 0.0000 0.0001 0.2441 μB per atom